3
Lattice="-2.783 2.515 1.550 -3.249 1.036 -2.201 -3.669 -1.409 1.011" Properties=species:S:1:pos:R:3 comment="CoMo2 (PBE, relaxed)" final_energy_ev_per_cell=-26.92 magnetic_moment_mub_per_fu=0.0 sg=Fm-3m pbc="T T T"
Mo -7.276 1.606 0.270
Mo -2.425 0.535 0.090
Co 0.000 0.000 0.000